# 1
! Nd2Mo3O12 | Alexandria via LeMat-Bulk | GGA+U | optimized geometry; values from VASP
! - VASP energy (eV per cell) = -256.1
! - spin magnetization (μB per formula unit) = 0.00
! - N(E_F) (states/eV/f.u.) = 0.0
! - symmetry = No. 15
&SYSTEM
  ibrav = 0, nat = 34, ntyp = 3
/
ATOMIC_SPECIES
Nd 144.24 Nd.upf
Mo 95.94 Mo.upf
O 16.00 O.upf
CELL_PARAMETERS angstrom
7.078 -0.060 -0.008
-2.978 6.421 -0.008
2.030 3.150 11.388
ATOMIC_POSITIONS crystal
Nd 0.793 0.546 0.412
Nd 0.454 0.207 0.088
Nd 0.207 0.454 0.588
Nd 0.546 0.793 0.912
Mo 0.376 0.624 0.250
Mo 0.036 0.300 0.925
Mo 0.624 0.376 0.750
Mo 0.700 0.964 0.575
Mo 0.300 0.036 0.425
Mo 0.964 0.700 0.075
O 0.172 0.576 0.383
O 0.627 0.700 0.286
O 0.424 0.828 0.117
O 0.079 0.965 0.097
O 0.832 0.293 0.040
O 0.921 0.035 0.903
O 0.302 0.390 0.959
O 0.071 0.467 0.786
O 0.576 0.172 0.883
O 0.373 0.300 0.714
O 0.700 0.627 0.786
O 0.533 0.929 0.714
O 0.828 0.424 0.617
O 0.610 0.698 0.541
O 0.965 0.079 0.597
O 0.707 0.168 0.460
O 0.293 0.832 0.540
O 0.035 0.921 0.403
O 0.390 0.302 0.459
O 0.467 0.071 0.286
O 0.300 0.373 0.214
O 0.929 0.533 0.214
O 0.698 0.610 0.041
O 0.168 0.707 0.960

# 2
! NdMoO5 | Alexandria via LeMat-Bulk | GGA+U | optimized geometry; values from VASP
! - VASP energy (eV per cell) = -101.4
! - spin magnetization (μB per formula unit) = 1.02
! - N(E_F) (states/eV/f.u.) = 2.0
! - relative energy among the computed polymorphs (meV per atom) = 176
! - symmetry = No. 15
&SYSTEM
  ibrav = 0, nat = 14, ntyp = 3
/
ATOMIC_SPECIES
Nd 144.24 Nd.upf
Mo 95.94 Mo.upf
O 16.00 O.upf
CELL_PARAMETERS angstrom
5.691 0.022 -0.037
1.826 5.391 -0.037
2.653 1.910 7.055
ATOMIC_POSITIONS crystal
Nd 0.555 0.445 0.250
Nd 0.445 0.555 0.750
Mo 0.000 0.000 0.000
Mo 0.000 0.000 0.500
O 0.790 0.764 0.112
O 0.279 0.706 0.463
O 0.764 0.790 0.612
O 0.931 0.069 0.250
O 0.294 0.721 0.037
O 0.706 0.279 0.963
O 0.069 0.931 0.750
O 0.236 0.210 0.388
O 0.721 0.294 0.537
O 0.210 0.236 0.888

# 3
! Nd3MoO7 | Alexandria via LeMat-Bulk | GGA+U | optimized geometry; values from VASP
! - VASP energy (eV per cell) = -351.1
! - spin magnetization (μB per formula unit) = 1.00
! - N(E_F) (states/eV/f.u.) = 0.4
! - relative energy among the computed polymorphs (meV per atom) = 25
! - symmetry = No. 19
&SYSTEM
  ibrav = 0, nat = 44, ntyp = 3
/
ATOMIC_SPECIES
Nd 144.24 Nd.upf
Mo 95.94 Mo.upf
O 16.00 O.upf
CELL_PARAMETERS angstrom
7.652 0.000 0.000
0.000 7.748 0.000
0.000 0.000 10.968
ATOMIC_POSITIONS crystal
Nd 0.761 0.206 0.500
Nd 0.000 0.042 0.227
Nd 0.500 0.458 0.773
Nd 0.501 0.457 0.227
Nd 0.999 0.543 0.727
Nd 0.000 0.542 0.273
Nd 0.001 0.043 0.773
Nd 0.499 0.957 0.273
Nd 0.261 0.294 0.500
Nd 0.500 0.958 0.727
Nd 0.739 0.794 0.000
Nd 0.239 0.706 0.000
Mo 0.754 0.251 0.000
Mo 0.246 0.751 0.500
Mo 0.254 0.249 0.000
Mo 0.746 0.749 0.500
O 0.218 0.450 0.877
O 0.497 0.815 0.499
O 0.282 0.552 0.623
O 0.712 0.587 0.366
O 0.504 0.228 0.367
O 0.782 0.948 0.377
O 0.004 0.272 0.633
O 0.288 0.087 0.134
O 0.789 0.409 0.136
O 0.211 0.909 0.364
O 0.218 0.448 0.123
O 0.994 0.770 0.133
O 0.711 0.591 0.636
O 0.718 0.052 0.877
O 0.997 0.685 0.501
O 0.782 0.950 0.623
O 0.506 0.230 0.633
O 0.496 0.728 0.133
O 0.788 0.413 0.866
O 0.006 0.270 0.367
O 0.494 0.730 0.867
O 0.996 0.772 0.867
O 0.282 0.550 0.377
O 0.003 0.185 0.999
O 0.503 0.315 0.001
O 0.289 0.091 0.864
O 0.212 0.913 0.634
O 0.718 0.050 0.123

# 4
! Nd6MoO12 | Alexandria via LeMat-Bulk | GGA+U | optimized geometry; values from VASP
! - VASP energy (eV per cell) = -153.3
! - spin magnetization (μB per formula unit) = 0.00
! - N(E_F) (states/eV/f.u.) = 0.0
! - symmetry = No. 148
&SYSTEM
  ibrav = 0, nat = 19, ntyp = 3
/
ATOMIC_SPECIES
Nd 144.24 Nd.upf
Mo 95.94 Mo.upf
O 16.00 O.upf
CELL_PARAMETERS angstrom
6.655 0.018 -1.006
-1.172 6.551 -1.006
0.015 0.018 6.731
ATOMIC_POSITIONS crystal
Nd 0.690 0.856 0.388
Nd 0.612 0.310 0.144
Nd 0.144 0.612 0.310
Nd 0.310 0.144 0.612
Nd 0.388 0.690 0.856
Nd 0.856 0.388 0.690
Mo 0.000 0.000 0.000
O 0.823 0.561 0.408
O 0.408 0.823 0.561
O 0.561 0.408 0.823
O 0.177 0.439 0.592
O 0.592 0.177 0.439
O 0.439 0.592 0.177
O 0.070 0.968 0.288
O 0.032 0.712 0.930
O 0.712 0.930 0.032
O 0.930 0.032 0.712
O 0.968 0.288 0.070
O 0.288 0.070 0.968

# 5
! NdMoO2 | Alexandria via LeMat-Bulk | GGA+U | optimized geometry; values from VASP
! - VASP energy (eV per cell) = -115.4
! - spin magnetization (μB per formula unit) = 3.09
! - N(E_F) (states/eV/f.u.) = 1.0
! - symmetry = No. 141
&SYSTEM
  ibrav = 0, nat = 16, ntyp = 3
/
ATOMIC_SPECIES
Mo 95.94 Mo.upf
Nd 144.24 Nd.upf
O 16.00 O.upf
CELL_PARAMETERS angstrom
-5.248 -0.264 5.563
2.630 -4.870 5.284
3.401 6.016 -3.286
ATOMIC_POSITIONS crystal
Mo 0.375 0.125 0.250
Mo 0.875 0.125 0.750
Mo 0.875 0.125 0.250
Mo 0.875 0.625 0.750
Nd 0.875 0.625 0.250
Nd 0.375 0.625 0.750
Nd 0.375 0.625 0.250
Nd 0.375 0.125 0.750
O 0.174 0.397 0.223
O 0.174 0.951 0.777
O 0.147 0.424 0.723
O 0.576 0.853 0.277
O 0.701 0.424 0.277
O 0.576 0.299 0.723
O 0.603 0.826 0.777
O 0.049 0.826 0.223

# 6
! NdMo2O8 | Alexandria via LeMat-Bulk | GGA+U | optimized geometry; values from VASP
! - VASP energy (eV per cell) = -74.3
! - spin magnetization (μB per formula unit) = 0.00
! - N(E_F) (states/eV/f.u.) = 2.8
! - symmetry = No. 97
&SYSTEM
  ibrav = 0, nat = 11, ntyp = 3
/
ATOMIC_SPECIES
Nd 144.24 Nd.upf
Mo 95.94 Mo.upf
O 16.00 O.upf
CELL_PARAMETERS angstrom
-4.277 -1.521 -1.779
-1.703 -0.518 4.539
1.090 6.470 -1.471
ATOMIC_POSITIONS crystal
Nd 0.500 0.500 0.000
Mo 0.750 0.250 0.500
Mo 0.250 0.750 0.500
O 0.881 0.382 0.296
O 0.086 0.585 0.704
O 0.618 0.119 0.704
O 0.119 0.086 0.704
O 0.415 0.914 0.296
O 0.914 0.881 0.296
O 0.382 0.415 0.296
O 0.585 0.618 0.704

# 7
! Nd3MoO7 | Alexandria via LeMat-Bulk | GGA+U | optimized geometry; values from VASP
! - VASP energy (eV per cell) = -176.1
! - spin magnetization (μB per formula unit) = 1.00
! - relative energy among the computed polymorphs (meV per atom) = 0
! - symmetry = No. 20
&SYSTEM
  ibrav = 0, nat = 22, ntyp = 3
/
ATOMIC_SPECIES
Nd 144.24 Nd.upf
Mo 95.94 Mo.upf
O 16.00 O.upf
CELL_PARAMETERS angstrom
-3.670 4.169 -3.725
3.462 -4.034 -4.059
-5.818 -5.061 0.068
ATOMIC_POSITIONS crystal
Nd 0.470 0.470 0.500
Nd 0.530 0.530 0.000
Nd 0.537 0.999 0.256
Nd 0.463 0.001 0.756
Nd 0.999 0.537 0.744
Nd 0.001 0.463 0.244
Mo 0.999 0.999 0.500
Mo 0.001 0.001 0.000
O 0.697 0.944 0.536
O 0.303 0.056 0.036
O 0.944 0.697 0.464
O 0.056 0.303 0.964
O 0.080 0.319 0.524
O 0.920 0.681 0.024
O 0.319 0.080 0.476
O 0.681 0.920 0.976
O 0.370 0.630 0.250
O 0.630 0.370 0.750
O 0.636 0.364 0.250
O 0.364 0.636 0.750
O 0.933 0.067 0.250
O 0.067 0.933 0.750

# 8
! NdMoO5 | Alexandria via LeMat-Bulk | GGA+U | optimized geometry; values from VASP
! - VASP energy (eV per cell) = -207.8
! - spin magnetization (μB per formula unit) = 0.02
! - N(E_F) (states/eV/f.u.) = 0.0
! - relative energy among the computed polymorphs (meV per atom) = 0
! - symmetry = No. 14
&SYSTEM
  ibrav = 0, nat = 28, ntyp = 3
/
ATOMIC_SPECIES
Nd 144.24 Nd.upf
Mo 95.94 Mo.upf
O 16.00 O.upf
CELL_PARAMETERS angstrom
-12.365 -2.141 3.330
1.583 -4.096 3.245
1.533 1.685 6.776
ATOMIC_POSITIONS crystal
Nd 0.063 0.658 0.717
Nd 0.937 0.342 0.283
Nd 0.563 0.342 0.783
Nd 0.437 0.658 0.217
Mo 0.366 0.910 0.649
Mo 0.634 0.090 0.351
Mo 0.866 0.090 0.851
Mo 0.134 0.910 0.149
O 0.446 0.457 0.985
O 0.554 0.543 0.015
O 0.946 0.543 0.515
O 0.054 0.457 0.485
O 0.925 0.987 0.662
O 0.075 0.013 0.338
O 0.425 0.013 0.838
O 0.575 0.987 0.162
O 0.442 0.706 0.548
O 0.558 0.294 0.452
O 0.942 0.294 0.952
O 0.058 0.706 0.048
O 0.242 0.767 0.737
O 0.758 0.233 0.263
O 0.742 0.233 0.763
O 0.258 0.767 0.237
O 0.657 0.778 0.575
O 0.343 0.222 0.425
O 0.157 0.222 0.925
O 0.843 0.778 0.075

# 9
! NdMoO5 | Alexandria via LeMat-Bulk | GGA+U | optimized geometry; values from VASP
! - VASP energy (eV per cell) = -101.0
! - spin magnetization (μB per formula unit) = 1.00
! - N(E_F) (states/eV/f.u.) = 5.8
! - relative energy among the computed polymorphs (meV per atom) = 208
! - symmetry = No. 129
&SYSTEM
  ibrav = 0, nat = 14, ntyp = 3
/
ATOMIC_SPECIES
Nd 144.24 Nd.upf
Mo 95.94 Mo.upf
O 16.00 O.upf
CELL_PARAMETERS angstrom
-0.912 -0.330 4.589
-7.451 -0.906 -1.546
0.995 -7.590 -0.349
ATOMIC_POSITIONS crystal
Nd 0.224 0.500 0.000
Nd 0.776 0.000 0.500
Mo 0.500 0.000 0.000
Mo 0.500 0.500 0.500
O 0.281 0.192 0.000
O 0.281 0.500 0.308
O 0.273 0.000 0.500
O 0.727 0.500 0.000
O 0.281 0.500 0.692
O 0.281 0.808 0.000
O 0.719 0.692 0.500
O 0.719 0.000 0.808
O 0.719 0.000 0.192
O 0.719 0.308 0.500

# 10
! NdMoO4 | Alexandria via LeMat-Bulk | GGA+U | optimized geometry; values from VASP
! - VASP energy (eV per cell) = -92.1
! - spin magnetization (μB per formula unit) = 1.00
! - symmetry = No. 141
&SYSTEM
  ibrav = 0, nat = 12, ntyp = 3
/
ATOMIC_SPECIES
Nd 144.24 Nd.upf
Mo 95.94 Mo.upf
O 16.00 O.upf
CELL_PARAMETERS angstrom
-1.073 -6.055 1.423
-0.626 1.404 -6.122
5.987 1.232 1.573
ATOMIC_POSITIONS crystal
Nd 0.000 0.000 0.000
Nd 0.750 0.250 0.500
Mo 0.250 0.750 0.500
Mo 0.500 0.500 0.000
O 0.253 0.935 0.317
O 0.618 0.935 0.683
O 0.685 0.868 0.183
O 0.497 0.315 0.183
O 0.685 0.503 0.817
O 0.065 0.382 0.317
O 0.132 0.315 0.817
O 0.065 0.747 0.683

# 11
! Nd4Mo6O19 | Alexandria via LeMat-Bulk | GGA+U | optimized geometry; values from VASP
! - VASP energy (eV per cell) = -219.3
! - spin magnetization (μB per formula unit) = 4.00
! - N(E_F) (states/eV/f.u.) = 2.1
! - symmetry = No. 197
&SYSTEM
  ibrav = 0, nat = 29, ntyp = 3
/
ATOMIC_SPECIES
Nd 144.24 Nd.upf
Mo 95.94 Mo.upf
O 16.00 O.upf
CELL_PARAMETERS angstrom
-6.196 -4.242 2.238
6.582 -3.915 1.657
-0.001 6.842 3.820
ATOMIC_POSITIONS crystal
Nd 0.000 0.000 0.689
Nd 0.000 0.689 0.000
Nd 0.311 0.311 0.311
Nd 0.689 0.000 0.000
Mo 0.359 0.500 0.859
Mo 0.641 0.500 0.141
Mo 0.141 0.641 0.500
Mo 0.859 0.359 0.500
Mo 0.500 0.859 0.359
Mo 0.500 0.141 0.641
O 0.678 0.000 0.678
O 0.322 0.000 0.322
O 0.322 0.322 0.000
O 0.678 0.678 0.000
O 0.000 0.678 0.678
O 0.000 0.322 0.322
O 0.000 0.000 0.000
O 0.287 0.243 0.618
O 0.713 0.331 0.956
O 0.625 0.669 0.382
O 0.956 0.713 0.331
O 0.375 0.757 0.044
O 0.618 0.287 0.243
O 0.044 0.375 0.757
O 0.382 0.625 0.669
O 0.757 0.044 0.375
O 0.331 0.956 0.713
O 0.243 0.618 0.287
O 0.669 0.382 0.625

# 12
! Nd2PaMoO8 | Alexandria via LeMat-Bulk | GGA+U | optimized geometry; values from VASP
! - VASP energy (eV per cell) = -100.9
! - spin magnetization (μB per formula unit) = 1.00
! - N(E_F) (states/eV/f.u.) = 0.0
! - symmetry = No. 65
&SYSTEM
  ibrav = 0, nat = 12, ntyp = 4
/
ATOMIC_SPECIES
Nd 144.24 Nd.upf
Pa 231.04 Pa.upf
Mo 95.94 Mo.upf
O 16.00 O.upf
CELL_PARAMETERS angstrom
-3.293 -1.442 3.707
2.826 -4.275 0.656
3.900 3.307 4.750
ATOMIC_POSITIONS crystal
Nd 0.501 0.501 0.756
Nd 0.499 0.499 0.244
Pa 0.000 0.000 0.500
Mo 0.000 0.000 0.000
O 0.177 0.823 0.237
O 0.735 0.736 0.000
O 0.823 0.178 0.237
O 0.823 0.177 0.763
O 0.265 0.264 0.000
O 0.177 0.822 0.763
O 0.705 0.705 0.500
O 0.295 0.295 0.500

# 13
! NdPaMoO6 | Alexandria via LeMat-Bulk | GGA+U | optimized geometry; values from VASP
! - VASP energy (eV per cell) = -76.4
! - spin magnetization (μB per formula unit) = 2.00
! - symmetry = No. 149
&SYSTEM
  ibrav = 0, nat = 9, ntyp = 4
/
ATOMIC_SPECIES
Nd 144.24 Nd.upf
Pa 231.04 Pa.upf
Mo 95.94 Mo.upf
O 16.00 O.upf
CELL_PARAMETERS angstrom
4.856 0.000 0.000
0.000 5.594 0.000
0.000 -2.797 4.844
ATOMIC_POSITIONS crystal
Nd 0.500 0.667 0.333
Pa 0.000 0.333 0.667
Mo 0.500 0.000 0.000
O 0.742 0.677 0.705
O 0.742 0.295 0.973
O 0.742 0.027 0.323
O 0.258 0.295 0.323
O 0.258 0.677 0.973
O 0.258 0.027 0.705

# 14
! Nd2MoPbO8 | Alexandria via LeMat-Bulk | GGA+U | optimized geometry; values from VASP
! - VASP energy (eV per cell) = -85.1
! - spin magnetization (μB per formula unit) = 0.00
! - symmetry = No. 12
&SYSTEM
  ibrav = 0, nat = 12, ntyp = 4
/
ATOMIC_SPECIES
Nd 144.24 Nd.upf
Mo 95.94 Mo.upf
Pb 207.20 Pb.upf
O 16.00 O.upf
CELL_PARAMETERS angstrom
5.033 -0.141 0.041
-0.126 5.034 0.040
0.067 0.071 7.072
ATOMIC_POSITIONS crystal
Nd 0.459 0.460 0.760
Nd 0.541 0.540 0.240
Mo 0.000 0.000 0.000
Pb 0.000 0.000 0.500
O 0.148 0.791 0.211
O 0.725 0.726 0.966
O 0.793 0.149 0.211
O 0.852 0.209 0.789
O 0.275 0.274 0.034
O 0.207 0.851 0.789
O 0.706 0.707 0.522
O 0.294 0.293 0.478

# 15
! NdMoPb2O6 | Alexandria via LeMat-Bulk | GGA+U | optimized geometry; values from VASP
! - VASP energy (eV per cell) = -135.4
! - spin magnetization (μB per formula unit) = 1.00
! - symmetry = No. 14
&SYSTEM
  ibrav = 0, nat = 20, ntyp = 4
/
ATOMIC_SPECIES
Nd 144.24 Nd.upf
Mo 95.94 Mo.upf
Pb 207.20 Pb.upf
O 16.00 O.upf
CELL_PARAMETERS angstrom
-1.759 5.356 -1.193
-4.218 -0.365 4.584
5.767 3.289 5.569
ATOMIC_POSITIONS crystal
Nd 0.500 0.000 0.000
Nd 0.000 0.500 0.500
Mo 0.500 0.000 0.500
Mo 0.000 0.500 0.000
Pb 0.991 0.952 0.274
Pb 0.491 0.548 0.774
Pb 0.009 0.048 0.726
Pb 0.509 0.452 0.226
O 0.305 0.670 0.019
O 0.805 0.830 0.519
O 0.695 0.330 0.981
O 0.195 0.170 0.481
O 0.326 0.741 0.461
O 0.826 0.759 0.961
O 0.674 0.259 0.539
O 0.174 0.241 0.039
O 0.922 0.536 0.233
O 0.422 0.964 0.733
O 0.078 0.464 0.767
O 0.578 0.036 0.267

# 16
! PmNdMo2O8 | Alexandria via LeMat-Bulk | GGA+U | optimized geometry; values from VASP
! - VASP energy (eV per cell) = -92.8
! - spin magnetization (μB per formula unit) = 2.00
! - symmetry = No. 82
&SYSTEM
  ibrav = 0, nat = 12, ntyp = 4
/
ATOMIC_SPECIES
Pm 145.00 Pm.upf
Nd 144.24 Nd.upf
Mo 95.94 Mo.upf
O 16.00 O.upf
CELL_PARAMETERS angstrom
-4.107 2.299 2.585
-3.400 -1.946 -3.672
3.071 -4.949 3.705
ATOMIC_POSITIONS crystal
Pm 0.000 0.000 0.000
Nd 0.750 0.250 0.500
Mo 0.500 0.500 0.000
Mo 0.250 0.750 0.500
O 0.747 0.836 0.163
O 0.416 0.326 0.163
O 0.588 0.670 0.664
O 0.076 0.995 0.664
O 0.005 0.412 0.336
O 0.330 0.924 0.336
O 0.164 0.584 0.837
O 0.674 0.253 0.837